(1)
Compound: Na2PmYF8
Source: the Alexandria database
Functional: GGA-PBE
Structure: relaxed

Cell lengths 5.547, 5.547, 6.745 Å; angles 114.28, 114.28, 90.00 degrees
Fractional coordinates of all 12 atoms:
1 F 0.606 0.628 0.746
2 F 0.606 0.119 0.746
3 F 0.881 0.859 0.254
4 F 0.141 0.119 0.746
5 F 0.372 0.859 0.254
6 F 0.372 0.394 0.254
7 F 0.881 0.394 0.254
8 F 0.141 0.628 0.746
9 Pm 0.500 0.500 0.000
10 Y 0.250 0.750 0.500
11 Na 0.000 0.000 0.000
12 Na 0.750 0.250 0.500

Results
Its symmetry is I-4m2, No. 119.



(2)
Compound: NaPmZnF6
Source: the Alexandria database
Functional: GGA-PBE
Structure: relaxed

Cell lengths 5.803, 5.803, 9.390 Å; angles 90.00, 90.00, 120.00 degrees
Fractional coordinates of all 18 atoms:
1 F 0.635 0.662 0.633
2 F 0.635 0.973 0.867
3 F 0.027 0.662 0.867
4 F 0.973 0.338 0.133
5 F 0.662 0.027 0.367
6 F 0.662 0.635 0.133
7 F 0.365 0.338 0.367
8 F 0.338 0.365 0.867
9 F 0.338 0.973 0.633
10 F 0.973 0.635 0.367
11 F 0.027 0.365 0.633
12 F 0.365 0.027 0.133
13 Zn 0.333 0.667 0.750
14 Zn 0.667 0.333 0.250
15 Pm 0.667 0.333 0.750
16 Pm 0.333 0.667 0.250
17 Na 0.000 0.000 0.500
18 Na 0.000 0.000 0.000

Results
Its symmetry is P-31c, No. 163.



(3)
Compound: NaPmZn2F8
Source: the Alexandria database
Functional: GGA-PBE
Structure: relaxed

Cell lengths 5.399, 5.399, 6.814 Å; angles 113.34, 113.34, 90.00 degrees
Fractional coordinates of all 12 atoms:
1 Zn 0.500 0.500 0.000
2 Zn 0.250 0.750 0.500
3 F 0.593 0.652 0.665
4 F 0.147 0.574 0.818
5 F 0.426 0.329 0.182
6 F 0.348 0.929 0.335
7 F 0.071 0.012 0.665
8 F 0.671 0.244 0.818
9 F 0.988 0.407 0.335
10 F 0.756 0.853 0.182
11 Na 0.000 0.000 0.000
12 Pm 0.750 0.250 0.500

Results
Its symmetry is I-4, No. 82.



(4)
Compound: NaPr2F8
Source: the Alexandria database
Functional: GGA-PBE
Structure: relaxed

Cell lengths 4.017, 5.835, 7.339 Å; angles 113.60, 105.88, 90.00 degrees
Fractional coordinates of all 11 atoms:
1 Pr 0.834 0.328 0.668
2 Pr 0.166 0.672 0.332
3 F 0.599 0.433 0.197
4 F 0.216 0.322 0.431
5 F 0.984 0.249 0.969
6 F 0.401 0.567 0.803
7 F 0.327 0.051 0.653
8 F 0.016 0.751 0.031
9 F 0.673 0.949 0.347
10 F 0.784 0.678 0.569
11 Na 0.500 0.000 0.000

Results
Its symmetry is C2/m, No. 12.



(5)
Compound: NaPrF4
Source: the Alexandria database
Functional: GGA-PBE
Structure: relaxed

Cell lengths 6.199, 7.235, 7.243 Å; angles 62.99, 64.79, 64.83 degrees
Fractional coordinates of all 18 atoms:
1 Pr 0.997 0.495 0.511
2 Pr 0.003 0.994 0.003
3 Pr 0.337 0.917 0.413
4 F 0.367 0.000 0.037
5 F 0.754 0.238 0.750
6 F 0.596 0.160 0.200
7 F 0.038 0.275 0.322
8 F 0.257 0.618 0.136
9 F 0.980 0.375 0.890
10 F 0.592 0.704 0.662
11 F 0.363 0.540 0.505
12 F 0.279 0.125 0.630
13 F 0.047 0.816 0.774
14 F 0.755 0.728 0.237
15 F 0.975 0.884 0.389
16 Na 0.330 0.427 0.908
17 Na 0.666 0.471 0.178
18 Na 0.663 0.993 0.693

Results
Its symmetry is P1, No. 1.



(6)
Compound: NaPrF2
Source: the Alexandria database
Functional: GGA-PBE
Structure: relaxed

Cell lengths 3.695, 3.695, 7.269 Å; angles 75.27, 75.27, 60.00 degrees
Fractional coordinates of all 4 atoms:
1 Na 0.500 0.500 0.500
2 F 0.890 0.890 0.331
3 F 0.110 0.110 0.669
4 Pr 0.000 0.000 0.000

Results
Its symmetry is R-3m, No. 166.



(7)
Compound: NaPrF
Source: the Alexandria database
Functional: GGA-PBE
Structure: relaxed

Cell lengths 4.100, 4.094, 13.109 Å; angles 80.19, 90.00, 120.05 degrees
Fractional coordinates of all 6 atoms:
1 F 0.215 0.431 0.858
2 F 0.785 0.569 0.142
3 Pr 0.878 0.757 0.868
4 Pr 0.122 0.243 0.132
5 Na 0.629 0.257 0.619
6 Na 0.371 0.743 0.381

Results
The energy above the most stable polymorph in this dataset comes out at 0 meV/atom. Its symmetry is C2/m, No. 12.



(8)
Compound: Na2Pr2F7
Source: the Alexandria database
Functional: GGA-PBE
Structure: relaxed

Cell lengths 5.646, 5.608, 5.646 Å; angles 90.00, 90.94, 90.00 degrees
Fractional coordinates of all 11 atoms:
1 F 0.000 0.266 0.500
2 F 0.500 0.744 0.500
3 F 0.500 0.734 0.000
4 F 0.500 0.266 0.000
5 F 0.000 0.000 0.000
6 F 0.000 0.734 0.500
7 F 0.500 0.256 0.500
8 Pr 0.748 0.500 0.748
9 Pr 0.252 0.500 0.252
10 Na 0.732 0.000 0.268
11 Na 0.268 0.000 0.732

Results
Its symmetry is Cmmm, No. 65.



(9)
Compound: NaPrF
Source: the Alexandria database
Functional: GGA-PBE
Structure: relaxed

Cell lengths 3.481, 3.481, 6.700 Å; angles 90.00, 90.00, 120.00 degrees
Fractional coordinates of all 3 atoms:
1 Na 0.000 0.000 0.091
2 F 0.667 0.333 0.318
3 Pr 0.333 0.667 0.591

Results
The energy above the most stable polymorph in this dataset comes out at 8 meV/atom. Its symmetry is P3m1, No. 156.



(10)
Compound: Na2PrScF8
Source: the Alexandria database
Functional: GGA-PBE
Structure: relaxed

Cell lengths 3.845, 5.565, 7.586 Å; angles 90.01, 90.00, 90.19 degrees
Fractional coordinates of all 12 atoms:
1 Na 0.500 0.500 0.229
2 Na 0.500 0.500 0.771
3 F 0.003 0.772 0.772
4 F 0.500 0.752 0.500
5 F 0.500 0.248 0.500
6 F 0.504 0.787 0.000
7 F 0.997 0.228 0.772
8 F 0.496 0.213 0.000
9 F 0.003 0.772 0.228
10 F 0.997 0.228 0.228
11 Pr 0.000 0.000 0.500
12 Sc 0.000 0.000 0.000

Results
Its symmetry is P2/m, No. 10.



(11)
Compound: Na2PrTiF8
Source: the Alexandria database
Functional: GGA-PBE
Structure: relaxed

Cell lengths 4.258, 5.460, 7.325 Å; angles 90.00, 90.00, 91.90 degrees
Fractional coordinates of all 12 atoms:
1 F 0.462 0.244 0.500
2 F 0.362 0.217 0.000
3 F 0.538 0.756 0.500
4 F 0.638 0.783 0.000
5 F 0.896 0.217 0.776
6 F 0.896 0.217 0.224
7 F 0.104 0.783 0.776
8 F 0.104 0.783 0.224
9 Ti 0.000 0.000 0.000
10 Na 0.500 0.500 0.767
11 Na 0.500 0.500 0.233
12 Pr 0.000 0.000 0.500

Results
Its symmetry is P2/m, No. 10.



(12)
Compound: NaPrZnF6
Source: the Alexandria database
Functional: GGA-PBE
Structure: relaxed

Cell lengths 5.874, 5.874, 9.251 Å; angles 90.00, 90.00, 120.00 degrees
Fractional coordinates of all 18 atoms:
1 F 0.367 0.334 0.368
2 F 0.633 0.967 0.868
3 F 0.334 0.967 0.632
4 F 0.666 0.033 0.368
5 F 0.033 0.367 0.632
6 F 0.666 0.633 0.132
7 F 0.367 0.033 0.132
8 F 0.633 0.666 0.632
9 F 0.334 0.367 0.868
10 F 0.967 0.633 0.368
11 F 0.967 0.334 0.132
12 F 0.033 0.666 0.868
13 Na 0.000 0.000 0.000
14 Na 0.000 0.000 0.500
15 Zn 0.333 0.667 0.750
16 Zn 0.667 0.333 0.250
17 Pr 0.667 0.333 0.750
18 Pr 0.333 0.667 0.250

Results
Its symmetry is P-31c, No. 163.



(13)
Compound: NaPtF
Source: the Alexandria database
Functional: GGA-PBE
Structure: relaxed

Cell lengths 17.480, 8.646, 8.646 Å; angles 160.49, 164.03, 15.97 degrees
Fractional coordinates of all 6 atoms:
1 Na 0.751 0.639 0.268
2 Na 0.249 0.268 0.639
3 Pt 0.750 0.426 0.473
4 Pt 0.250 0.473 0.426
5 F 0.749 0.265 0.642
6 F 0.251 0.642 0.265

Results
The energy above the most stable polymorph in this dataset comes out at 45 meV/atom. Its symmetry is C2, No. 5.



(14)
Compound: NaPtF
Source: the Alexandria database
Functional: GGA-PBE
Structure: relaxed

Cell lengths 2.885, 10.687, 10.687 Å; angles 164.83, 90.00, 90.00 degrees
Fractional coordinates of all 6 atoms:
1 Na 0.500 0.108 0.892
2 Na 0.000 0.246 0.754
3 F 0.000 0.564 0.436
4 F 0.500 0.696 0.304
5 Pt 0.500 0.868 0.132
6 Pt 0.000 0.458 0.542

Results
The energy above the most stable polymorph in this dataset comes out at 35 meV/atom. Its symmetry is Amm2, No. 38.



(15)
Compound: Na3PtF6
Source: the Alexandria database
Functional: GGA-PBE
Structure: relaxed

Cell lengths 5.410, 5.410, 6.455 Å; angles 111.30, 111.30, 97.66 degrees
Fractional coordinates of all 10 atoms:
1 F 0.360 0.360 0.261
2 F 0.099 0.099 0.739
3 F 0.241 0.759 0.000
4 F 0.640 0.640 0.739
5 F 0.759 0.241 0.000
6 F 0.901 0.901 0.261
7 Pt 0.000 0.000 0.000
8 Na 0.250 0.750 0.500
9 Na 0.750 0.250 0.500
10 Na 0.500 0.500 0.000

Results
Its symmetry is Fmmm, No. 69.



(16)
Compound: NaPtF
Source: the Alexandria database
Functional: GGA-PBE
Structure: relaxed

Cell lengths 11.312, 11.312, 11.312 Å; angles 14.83, 14.83, 14.83 degrees
Fractional coordinates of all 6 atoms:
1 Na 0.167 0.167 0.167
2 Na 0.412 0.412 0.412
3 F 0.039 0.039 0.039
4 F 0.791 0.791 0.791
5 Pt 0.575 0.575 0.575
6 Pt 0.976 0.976 0.976

Results
The energy above the most stable polymorph in this dataset comes out at 50 meV/atom. Its symmetry is R3m, No. 160.



(17)
Compound: NaPtF6
Source: the Alexandria database
Functional: GGA-PBE
Structure: relaxed

Cell lengths 4.952, 4.952, 5.207 Å; angles 74.08, 74.08, 82.26 degrees
Fractional coordinates of all 8 atoms:
1 Na 0.500 0.500 0.500
2 Pt 0.000 0.000 0.000
3 F 0.279 0.865 0.716
4 F 0.865 0.279 0.716
5 F 0.721 0.135 0.284
6 F 0.135 0.721 0.284
7 F 0.736 0.736 0.023
8 F 0.264 0.264 0.977

Results
Its symmetry is C2/m, No. 12.



(18)
Compound: NaPtF
Source: the Alexandria database
Functional: GGA-PBE
Structure: relaxed

Cell lengths 3.642, 3.642, 8.212 Å; angles 90.00, 90.00, 90.00 degrees
Fractional coordinates of all 6 atoms:
1 Pt 0.500 0.000 0.033
2 Pt 0.000 0.500 0.967
3 Na 0.500 0.000 0.640
4 Na 0.000 0.500 0.360
5 F 0.500 0.500 0.500
6 F 0.000 0.000 0.500

Results
The energy above the most stable polymorph in this dataset comes out at 307 meV/atom. Its symmetry is P4/nmm, No. 129.



(19)
Compound: NaPtF
Source: the Alexandria database
Functional: GGA-PBE
Structure: relaxed

Cell lengths 2.920, 2.920, 11.557 Å; angles 82.73, 104.64, 119.96 degrees
Fractional coordinates of all 6 atoms:
1 Pt 0.100 0.585 0.948
2 Pt 0.634 0.251 0.149
3 F 0.823 0.251 0.338
4 F 0.747 0.583 0.595
5 Na 0.209 0.250 0.723
6 Na 0.278 0.917 0.459

Results
The energy above the most stable polymorph in this dataset comes out at 48 meV/atom. Its symmetry is Cm, No. 8.



(20)
Compound: Na3PtF7
Source: the Alexandria database
Functional: GGA-PBE
Structure: relaxed

Cell lengths 5.511, 5.511, 6.023 Å; angles 69.67, 69.67, 88.39 degrees
Fractional coordinates of all 11 atoms:
1 F 0.169 0.169 0.156
2 F 0.955 0.349 0.752
3 F 0.505 0.505 0.389
4 F 0.062 0.677 0.215
5 F 0.677 0.062 0.215
6 F 0.349 0.955 0.752
7 F 0.858 0.858 0.799
8 Na 0.251 0.780 0.481
9 Na 0.509 0.509 0.030
10 Na 0.780 0.251 0.481
11 Pt 0.011 0.011 0.981

Results
Its symmetry is Cm, No. 8.



What are the formation energy without anion corrections values for these records? In order: -3684.5 -3140.9 -2991.8 -3428.2 -3667.8 -2540.1 -1508.6 -3324.3 -1501.1 -3571.4 -3347.2 -3116.9 -1376.1 -1386.0 -2045.0 -1371.4 -1676.8 -1114.7 -1373.8 -2157.8 meV/atom.